1 | This record from Alexandria describes ZrTlSb at its PBEsol-relaxed geometry. The functional is meta-GGA SCAN.

Geometry as POSCAR:
```
ZrTlSb
1.0
0.000 2.455 7.411
2.039 0.000 7.411
2.039 2.455 0.000
Zr Tl Sb
1 1 1
Cartesian
0.000 0.000 0.000 Zr
2.039 2.455 5.115 Tl
2.039 2.455 9.537 Sb
```

- SG: Fmm2

2 | This record from Alexandria describes ZrTlSb at its PBEsol-relaxed geometry. The functional is meta-GGA SCAN.

Geometry as POSCAR:
```
ZrTlSb
1.0
3.329 0.000 0.000
-1.664 2.883 0.000
0.000 0.000 7.506
Zr Tl Sb
1 1 1
Cartesian
0.000 0.000 0.000 Zr
0.000 1.922 2.441 Tl
1.664 0.961 5.181 Sb
```

- SG: P3m1

Preferred: 2; penalty for the next structure: 10 meV per atom.

1 | This record from Alexandria describes YSb2W at its PBEsol-relaxed geometry. The functional is meta-GGA SCAN.

Geometry as POSCAR:
```
YSb2W
1.0
3.610 0.000 0.000
0.000 3.610 0.000
0.000 0.000 6.753
Y Sb W
1 2 1
Cartesian
0.000 0.000 0.000 Y
0.000 0.000 3.671 Sb
1.805 1.805 1.738 Sb
1.805 1.805 4.754 W
```

- SG: P4mm

2 | This record from Alexandria describes YSb2W at its PBEsol-relaxed geometry. The functional is meta-GGA SCAN.

Geometry as POSCAR:
```
YSb2W
1.0
1.888 -2.459 0.000
1.888 2.459 0.000
0.000 0.000 10.347
Y Sb W
1 2 1
Cartesian
0.000 0.000 0.000 Y
0.000 0.000 6.044 Sb
1.888 0.000 2.549 Sb
1.888 0.000 8.060 W
```

- SG: Cmm2

3 | This record from Alexandria describes YSb2W at its PBEsol-relaxed geometry. The functional is meta-GGA SCAN.

Geometry as POSCAR:
```
YSb2W
1.0
4.004 -1.847 0.000
4.004 1.847 0.000
-1.689 0.000 6.272
Y Sb W
1 2 1
Cartesian
0.000 0.000 0.000 Y
0.722 0.000 4.446 Sb
5.598 0.000 1.826 Sb
3.160 0.000 3.136 W
```

- SG: C2/m

Preferred: 3; penalty for the next structure: 33 meV per atom.

1 | This record from Alexandria describes ZrSb2W at its PBEsol-relaxed geometry. The functional is meta-GGA SCAN.

Geometry as POSCAR:
```
ZrSb2W
1.0
3.718 0.000 0.000
0.000 4.293 0.000
0.000 0.000 5.072
Zr Sb W
1 2 1
Cartesian
0.000 0.000 0.000 Zr
0.000 2.146 2.536 Sb
1.859 2.146 0.000 Sb
1.859 0.000 2.536 W
```

- SG: Pmmm

2 | This record from Alexandria describes ZrSb2W at its PBEsol-relaxed geometry. The functional is meta-GGA SCAN.

Geometry as POSCAR:
```
ZrSb2W
1.0
1.675 0.967 8.963
-1.675 0.967 8.963
0.000 -1.935 8.963
Zr Sb W
1 2 1
Cartesian
0.000 0.000 0.000 Zr
0.000 0.000 13.942 Sb
0.000 0.000 20.233 Sb
0.000 0.000 6.928 W
```

- SG: R3m

Preferred: 2; penalty for the next structure: 124 meV per atom.

1 | This record from Alexandria describes Zr5Sb3 at its PBEsol-relaxed geometry. The functional is meta-GGA SCAN.

Geometry as POSCAR:
```
Zr5Sb3
1.0
8.406 0.000 0.000
-4.203 7.280 0.000
0.000 0.000 5.712
Zr Sb
10 6
Cartesian
-1.063 1.841 1.428 Zr
-3.140 5.439 4.284 Zr
2.125 0.000 1.428 Zr
1.063 1.841 4.284 Zr
0.000 4.853 0.000 Zr
0.000 4.853 2.856 Zr
4.203 2.427 0.000 Zr
4.203 2.427 2.856 Zr
6.281 0.000 4.284 Zr
3.140 5.439 1.428 Zr
-1.630 2.823 4.284 Sb
-2.573 4.457 1.428 Sb
3.260 0.000 4.284 Sb
1.630 2.823 1.428 Sb
5.146 0.000 1.428 Sb
2.573 4.457 4.284 Sb
```

- SG: P6_3/mcm

2 | This record from Alexandria describes Zr5Sb3 at its PBEsol-relaxed geometry. The functional is meta-GGA SCAN.

Geometry as POSCAR:
```
Zr5Sb3
1.0
-5.539 5.539 2.809
5.539 -5.539 2.809
5.539 5.539 -2.809
Zr Sb
10 6
Cartesian
8.629 0.848 0.000 Zr
0.848 2.449 0.000 Zr
5.539 0.000 1.404 Zr
6.387 3.090 0.000 Zr
3.090 4.691 0.000 Zr
2.449 0.848 2.809 Zr
-0.848 2.449 2.809 Zr
0.000 5.539 1.404 Zr
4.691 3.090 2.809 Zr
-3.090 4.691 2.809 Zr
3.720 1.820 0.000 Sb
0.000 0.000 1.404 Sb
3.720 -1.820 2.809 Sb
1.820 7.359 0.000 Sb
0.000 0.000 4.213 Sb
1.820 3.720 2.809 Sb
```

- SG: I4/mcm

Preferred: 1; penalty for the next structure: 26 meV per atom.

1 | This record from Alexandria describes ZrSb3 at its PBEsol-relaxed geometry. The functional is meta-GGA SCAN.

Geometry as POSCAR:
```
ZrSb3
1.0
4.641 -3.926 0.000
4.641 3.926 0.000
0.000 0.000 5.289
Zr Sb
2 6
Cartesian
4.641 2.421 3.967 Zr
4.641 -2.421 1.322 Zr
1.875 0.919 3.967 Sb
1.875 -0.919 1.322 Sb
4.641 0.794 1.322 Sb
4.641 -0.794 3.967 Sb
7.406 0.919 3.967 Sb
7.406 -0.919 1.322 Sb
```

- SG: Cmcm

2 | This record from Alexandria describes ZrSb3 at its PBEsol-relaxed geometry. The functional is meta-GGA SCAN.

Geometry as POSCAR:
```
ZrSb3
1.0
4.596 0.000 0.000
0.000 4.596 0.000
0.000 0.000 4.596
Zr Sb
1 3
Cartesian
0.000 0.000 0.000 Zr
0.000 2.298 2.298 Sb
2.298 0.000 2.298 Sb
2.298 2.298 0.000 Sb
```

- SG: Pm-3m

Preferred: 1; penalty for the next structure: 258 meV per atom.

1 | This record from Alexandria describes Sc at its PBEsol-relaxed geometry. The functional is meta-GGA SCAN.

Geometry as POSCAR:
```
Sc
1.0
3.272 0.000 0.000
-1.636 2.833 0.000
0.000 0.000 5.070
Sc
2
Cartesian
0.000 1.889 1.268 Sc
1.636 0.944 3.803 Sc
```

- SG: P6_3/mmc

2 | This record from Alexandria describes Sc at its PBEsol-relaxed geometry. The functional is meta-GGA SCAN.

Geometry as POSCAR:
```
Sc
1.0
3.236 0.000 0.000
-1.618 2.803 0.000
0.000 0.000 10.322
Sc
4
Cartesian
0.000 0.000 0.000 Sc
0.000 0.000 5.161 Sc
0.000 1.869 2.581 Sc
1.618 0.934 7.742 Sc
```

- SG: P6_3/mmc

Preferred: 1; penalty for the next structure: 35 meV per atom.

1 | This record from Alexandria describes Sc at its PBEsol-relaxed geometry. The functional is meta-GGA SCAN.

Geometry as POSCAR:
```
Sc
1.0
0.000 2.270 2.270
2.270 0.000 2.270
2.270 2.270 0.000
Sc
1
Cartesian
0.000 0.000 0.000 Sc
```

- SG: Fm-3m

2 | This record from Alexandria describes Sc at its PBEsol-relaxed geometry. The functional is meta-GGA SCAN.

Geometry as POSCAR:
```
Sc
1.0
5.031 0.000 0.000
-2.515 4.357 0.000
0.000 0.000 3.190
Sc
3
Cartesian
0.000 0.000 0.000 Sc
0.000 2.904 1.595 Sc
2.515 1.452 1.595 Sc
```

- SG: P6/mmm

Preferred: 2; penalty for the next structure: 13 meV per atom.

1 | This record from Alexandria describes SrScSe2 at its PBEsol-relaxed geometry. The functional is meta-GGA SCAN.

Geometry as POSCAR:
```
SrScSe2
1.0
0.000 3.563 3.563
3.563 0.000 3.563
3.563 3.563 0.000
Sr Sc Se
1 1 2
Cartesian
0.000 0.000 0.000 Sr
5.344 5.344 5.344 Sc
1.781 1.781 1.781 Se
3.563 3.563 3.563 Se
```

- SG: F-43m

2 | This record from Alexandria describes SrScSe2 at its PBEsol-relaxed geometry. The functional is meta-GGA SCAN.

Geometry as POSCAR:
```
SrScSe2
1.0
2.012 1.161 6.805
-2.012 1.161 6.805
0.000 -2.323 6.805
Sr Sc Se
1 1 2
Cartesian
0.000 0.000 0.000 Sr
0.000 0.000 10.207 Sc
0.000 0.000 4.881 Se
0.000 0.000 15.534 Se
```

- SG: R-3m

Preferred: 2; penalty for the next structure: 1464 meV per atom.

1 | This record from Alexandria describes SrScSe2 at its PBEsol-relaxed geometry. The functional is meta-GGA SCAN.

Geometry as POSCAR:
```
SrScSe2
1.0
3.575 -3.575 0.000
3.575 3.575 0.000
-0.013 0.000 3.529
Sr Sc Se
1 1 2
Cartesian
0.000 0.000 0.000 Sr
3.575 0.000 0.000 Sc
1.781 1.788 1.765 Se
1.781 -1.788 1.765 Se
```

- SG: C2/m

2 | This record from Alexandria describes SrScSe2 at its PBEsol-relaxed geometry. The functional is meta-GGA SCAN.

Geometry as POSCAR:
```
SrScSe2
1.0
-1.841 1.894 6.985
1.841 -1.894 6.985
1.841 1.894 -6.985
Sr Sc Se
1 1 2
Cartesian
0.000 0.000 0.000 Sr
1.841 0.000 3.503 Sc
0.000 0.000 5.495 Se
0.000 1.894 2.466 Se
```

- SG: Imm2

Preferred: 2; penalty for the next structure: 228 meV per atom.

1 | This record from Alexandria describes ScTaSe at its PBEsol-relaxed geometry. The functional is meta-GGA SCAN.

Geometry as POSCAR:
```
ScTaSe
1.0
0.000 3.069 3.069
3.069 0.000 3.069
3.069 3.069 0.000
Sc Ta Se
1 1 1
Cartesian
0.000 0.000 0.000 Sc
3.069 3.069 3.069 Ta
1.535 1.535 1.535 Se
```

- SG: F-43m

2 | This record from Alexandria describes ScTaSe at its PBEsol-relaxed geometry. The functional is meta-GGA SCAN.

Geometry as POSCAR:
```
ScTaSe
1.0
-1.625 1.625 5.304
1.625 -1.625 5.304
1.625 1.625 -5.304
Sc Ta Se
1 1 1
Cartesian
0.000 0.000 0.000 Sc
0.000 0.000 3.226 Ta
0.000 0.000 7.243 Se
```

- SG: I4mm

Preferred: 2; penalty for the next structure: 341 meV per atom.

1 | This record from Alexandria describes ScTcSe at its PBEsol-relaxed geometry. The functional is meta-GGA SCAN.

Geometry as POSCAR:
```
ScTcSe
1.0
4.236 0.000 0.000
-2.118 3.669 0.000
0.000 0.000 3.242
Sc Tc Se
1 1 1
Cartesian
0.000 0.000 0.000 Sc
0.000 2.446 1.621 Tc
2.118 1.223 1.621 Se
```

- SG: P-6m2

2 | This record from Alexandria describes ScTcSe at its PBEsol-relaxed geometry. The functional is meta-GGA SCAN.

Geometry as POSCAR:
```
ScTcSe
1.0
0.000 3.046 3.046
3.046 0.000 3.046
3.046 3.046 0.000
Sc Tc Se
1 1 1
Cartesian
0.000 0.000 0.000 Sc
1.523 1.523 1.523 Tc
4.569 4.569 4.569 Se
```

- SG: F-43m

Preferred: 1; penalty for the next structure: 732 meV per atom.

1 | This record from Alexandria describes ScTiSe2 at its PBEsol-relaxed geometry. The functional is meta-GGA SCAN.

Geometry as POSCAR:
```
ScTiSe2
1.0
-2.898 2.898 5.929
2.898 -2.898 5.929
2.898 2.898 -5.929
Sc Ti Se
2 2 4
Cartesian
0.000 0.000 0.000 Sc
0.000 2.898 2.964 Sc
2.898 0.000 2.964 Ti
0.000 0.000 5.929 Ti
1.449 -1.356 4.447 Se
1.541 1.449 1.482 Se
1.449 4.254 -1.482 Se
1.356 1.449 7.411 Se
```

- SG: I-42d

2 | This record from Alexandria describes ScTiSe2 at its PBEsol-relaxed geometry. The functional is meta-GGA SCAN.

Geometry as POSCAR:
```
ScTiSe2
1.0
1.827 1.055 8.148
-1.827 1.055 8.148
0.000 -2.110 8.148
Sc Ti Se
1 1 2
Cartesian
0.000 0.000 0.000 Sc
0.000 0.000 12.222 Ti
0.000 0.000 9.744 Se
0.000 0.000 14.699 Se
```

- SG: R-3m

Preferred: 1; penalty for the next structure: 111 meV per atom.